{"formula": "Tc2RhSe", "functional": "PBE", "state": "optimized geometry", "cell": [[-1.927, -2.267, 0.057], [2.227, -1.877, 0.611], [-0.956, 0.976, 6.481]], "species": ["Tc", "Tc", "Se", "Rh"], "frac_coords": [[0.000, 0.000, 0.981], [0.000, 0.000, 0.519], [0.500, 0.500, 0.750], [0.500, 0.500, 0.250]], "e_form_raw_ev_per_atom": 0.18}